# 1
VASP calculation (PBE) on a geometry-optimized Sr2SiHPt6 structure.

The space group is C2/m (No. 12) and the conventional cell measures 10.115, 5.826 and 6.812 Å, with angles of 90.00, 119.43 and 90.00 degrees. The inequivalent atoms are Sr at (0.218, 0.000, 0.154), Si at (0.000, 0.500, 0.000), H at (0.000, 0.000, 0.500), Pt at (0.023, 0.258, 0.313) and Pt at (0.235, 0.000, 0.687).

# 2
VASP calculation (PBE) on a geometry-optimized Ac12Pr7Sm structure.

For the energy above the most stable polymorph in this dataset, the calculation gives 423 meV per atom. The calculation puts the energy of formation from the pure elements at 0.6062 eV per atom.

The space group is Im-3 (No. 204) and the conventional cell measures 12.268, 12.268 and 12.268 Å, with angles of 90.00, 90.00 and 90.00 degrees. The inequivalent atoms are Ac at (0.000, 0.212, 0.288), Pr at (0.000, 0.000, 0.500), Pr at (0.250, 0.250, 0.250) and Sm at (0.000, 0.000, 0.000).

# 3
VASP calculation (PBE) on a geometry-optimized AlSi3Se structure.

For the energy above the most stable polymorph in this dataset, the calculation gives 0 meV per atom. As for the energy relative to the elements, uncorrected: 883 meV/atom.

The space group is Pm-3m (No. 221) and the conventional cell measures 4.783, 4.783 and 4.783 Å, with angles of 90.00, 90.00 and 90.00 degrees. The inequivalent atoms are Al at (0.000, 0.000, 0.000), Si at (0.000, 0.000, 0.500) and Se at (0.500, 0.500, 0.500).

# 4
VASP calculation (PBE) on a geometry-optimized SrBeAg2 structure.

The calculation puts the energy of formation from the pure elements at 0.1521 eV per atom.

The space group is Immm (No. 71) and the conventional cell measures 3.989, 5.664 and 8.024 Å, with angles of 90.00, 90.00 and 90.00 degrees. The inequivalent atoms are Sr at (0.000, 0.000, 0.000), Be at (0.000, 0.000, 0.500) and Ag at (0.000, 0.500, 0.178).

# 5
VASP calculation (PBE) on a geometry-optimized Pm2PrNpO8 structure.

As for the energy relative to the elements, uncorrected: -3121 meV/atom.

The space group is P2/m (No. 10) and the conventional cell measures 3.995, 7.630 and 5.551 Å, with angles of 90.00, 94.68 and 90.00 degrees. The inequivalent atoms are Pm at (0.000, 0.244, 0.000), Pr at (0.500, 0.000, 0.500), Np at (0.500, 0.500, 0.500), O at (0.009, 0.000, 0.757), O at (0.057, 0.500, 0.284) and O at (0.466, 0.285, 0.734).

# 6
VASP calculation (PBE) on a geometry-optimized Cr2Pt structure.

The calculation puts the energy of formation from the pure elements at -0.0662 eV per atom.

The space group is Fd-3m (No. 227, origin choice 2) and the conventional cell measures 6.759, 6.759 and 6.759 Å, with angles of 90.00, 90.00 and 90.00 degrees. The inequivalent atoms are Cr at (0.000, 0.000, 0.000) and Pt at (0.125, 0.125, 0.625).

# 7
VASP calculation (PBE) on a geometry-optimized PaBr3Cl structure.

As for the energy relative to the elements, uncorrected: -1517 meV/atom.

The space group is Imma (No. 74) and the conventional cell measures 8.451, 10.001 and 9.904 Å, with angles of 90.00, 90.00 and 90.00 degrees. The inequivalent atoms are Pa at (0.250, 0.250, 0.250), Br at (0.000, 0.250, 0.050), Br at (0.250, 0.020, 0.750) and Cl at (0.000, 0.250, 0.426).

# 8
VASP calculation (PBE) on a geometry-optimized SmHo2Tm5Th structure.

The calculation puts the energy of formation from the pure elements at 0.3188 eV per atom.

The space group is I4/mcm (No. 140) and the conventional cell measures 8.723, 8.723 and 14.820 Å, with angles of 90.00, 90.00 and 90.00 degrees. The inequivalent atoms are Sm at (0.000, 0.500, 0.250), Ho at (0.114, 0.386, 0.000), Tm at (0.000, 0.000, 0.000), Tm at (0.208, 0.292, 0.365) and Th at (0.000, 0.000, 0.250).

# 9
VASP calculation (PBE) on a geometry-optimized Ba4I3N2 structure.

As for the energy relative to the elements, uncorrected: -1088 meV/atom.

The space group is C2/c (No. 15) and the conventional cell measures 15.937, 11.693 and 7.392 Å, with angles of 90.00, 91.13 and 90.00 degrees. The inequivalent atoms are Ba at (0.134, 0.192, 0.021), Ba at (0.178, 0.433, 0.593), I at (0.000, 0.410, 0.250), I at (0.110, 0.134, 0.528) and N at (0.213, 0.378, 0.928).

# 10
VASP calculation (PBE) on a geometry-optimized TiFeSe2 structure.

For the energy above the most stable polymorph in this dataset, the calculation gives 38 meV per atom. As for the energy relative to the elements, uncorrected: -358 meV/atom.

The space group is R-3m (No. 166, hexagonal axes) and the conventional cell measures 3.4320, 3.4320 and 23.8466 Å, with angles of 90.00, 90.00 and 120.00 degrees. The inequivalent atoms are Ti at (0.0000, 0.0000, 0.0000), Fe at (0.0000, 0.0000, 0.5000) and Se at (0.0000, 0.0000, 0.4011).

# 11
VASP calculation (PBE) on a geometry-optimized CeCdInIr structure.

The calculation puts the energy of formation from the pure elements at -0.2681 eV per atom.

The space group is F-43m (No. 216) and the conventional cell measures 7.011, 7.011 and 7.011 Å, with angles of 90.00, 90.00 and 90.00 degrees. The inequivalent atoms are Ce at (0.000, 0.000, 0.000), Cd at (0.250, 0.250, 0.750), In at (0.000, 0.000, 0.500) and Ir at (0.250, 0.250, 0.250).

# 12
VASP calculation (PBE) on a geometry-optimized TmLuNiPb structure.

The calculation puts the energy of formation from the pure elements at -0.3005 eV per atom.

The space group is F-43m (No. 216) and the conventional cell measures 7.164, 7.164 and 7.164 Å, with angles of 90.00, 90.00 and 90.00 degrees. The inequivalent atoms are Tm at (0.000, 0.000, 0.000), Lu at (0.000, 0.000, 0.500), Ni at (0.250, 0.250, 0.250) and Pb at (0.250, 0.250, 0.750).

no.,uncorrected energy (eV per atom)
1,-5.490
2,-3.768
3,-3.816
4,-2.625
5,-8.695
6,-8.495
7,-4.789
8,-4.531
9,-4.310
10,-6.190
11,-4.880
12,-4.921